Record 1
Compound: Ru2SeBr2
Source: Alexandria
Functional: SCAN
Structure: PBEsol geometry

Properties
DOS(E_F)	4.26	states/eV/f.u.
symmetry	No. 139

Unit cell a=4.0577 b=4.0577 c=6.4910 alpha=108.21 beta=108.21 gamma=90.00
Closest atoms and distances in Å follow each position.
Sites, in units of the cell vectors:
Ru 0.7500 0.2500 0.5000  4 Br 2.44
Ru 0.2500 0.7500 0.5000  4 Br 2.44
Se 0.0000 0.0000 0.0000  8 Br 3.27, 8 Ru 3.55
Br 0.3658 0.3658 0.7315  4 Ru 2.44
Br 0.6342 0.6342 0.2685  4 Ru 2.44

=====

Record 2
Compound: Ca2Y2Si4CO16
Source: Alexandria
Functional: SCAN
Structure: PBEsol geometry

Properties
symmetry	No. 62

Unit cell a=6.7105 b=12.9856 c=14.3596 alpha=90.00 beta=90.00 gamma=90.00
Closest atoms and distances in Å follow each position.
Sites, in units of the cell vectors:
Ca 0.3008 0.4286 0.4520  6 O 2.25-2.48
Ca 0.1992 0.4286 0.9520  6 O 2.25-2.48
Ca 0.8008 0.9286 0.0480  6 O 2.25-2.48
Ca 0.1992 0.0714 0.9520  6 O 2.25-2.48
Ca 0.6992 0.9286 0.5480  6 O 2.25-2.48
Ca 0.8008 0.5714 0.0480  6 O 2.25-2.48
Ca 0.6992 0.5714 0.5480  6 O 2.25-2.48
Ca 0.3008 0.0714 0.4520  6 O 2.25-2.48
O 0.1517 0.5503 0.0832  1 Si 1.63
O 0.5611 0.1082 0.0350  2 Si 1.66-1.68
O 0.2966 0.9471 0.3279  1 Si 1.63
O 0.2034 0.9471 0.8279  1 Si 1.63
O 0.4370 0.4085 0.2153  1 Si 1.61
O 0.6179 0.8371 0.4201  1 C 1.29
O 0.6179 0.6629 0.4201  1 C 1.29
O 0.9389 0.1082 0.5350  2 Si 1.66-1.68
O 0.1179 0.3371 0.0799  1 C 1.29
O 0.5630 0.5915 0.7847  1 Si 1.61
O 0.5230 0.6119 0.1379  1 Si 1.62
O 0.5611 0.3918 0.0350  2 Si 1.66-1.68
O 0.7535 0.2500 0.4281  2 Si 1.64
O 0.3299 0.7500 0.8416  2 Si 1.62
O 0.7465 0.2500 0.9281  2 Si 1.64
O 0.3483 0.9497 0.5832  1 Si 1.63
O 0.8483 0.0503 0.9168  1 Si 1.63
O 0.8821 0.8371 0.9201  1 C 1.29
O 0.5230 0.8881 0.1379  1 Si 1.62
O 0.7966 0.4471 0.1721  1 Si 1.63
O 0.6701 0.2500 0.1584  2 Si 1.62
O 0.3483 0.5503 0.5832  1 Si 1.63
O 0.0630 0.4085 0.7153  1 Si 1.61
O 0.0611 0.6082 0.4650  2 Si 1.66-1.68
O 0.0630 0.0915 0.7153  1 Si 1.61
O 0.2034 0.5529 0.8279  1 Si 1.63
O 0.8299 0.2500 0.6584  2 Si 1.62
O 0.9370 0.9085 0.2847  1 Si 1.61
O 0.4389 0.8918 0.9650  2 Si 1.66-1.68
O 0.9770 0.8881 0.6379  1 Si 1.62
O 0.7966 0.0529 0.1721  1 Si 1.63
O 0.0611 0.8918 0.4650  2 Si 1.66-1.68
O 0.4370 0.0915 0.2153  1 Si 1.61
O 0.3821 0.1629 0.5799  1 C 1.29
O 0.9389 0.3918 0.5350  2 Si 1.66-1.68
O 0.4004 0.2500 0.7119  1 C 1.29
O 0.5630 0.9085 0.7847  1 Si 1.61
O 0.8483 0.4497 0.9168  1 Si 1.63
O 0.0230 0.3881 0.3621  1 Si 1.62
O 0.6669 0.7500 0.5851  2 Ca 2.39, 2 O 2.65
O 0.2535 0.7500 0.0719  2 Si 1.64
O 0.1701 0.7500 0.3416  2 Si 1.62
O 0.7034 0.4471 0.6721  1 Si 1.63
O 0.0230 0.1119 0.3621  1 Si 1.62
O 0.6517 0.4497 0.4168  1 Si 1.63
O 0.9770 0.6119 0.6379  1 Si 1.62
O 0.4770 0.1119 0.8621  1 Si 1.62
O 0.1517 0.9497 0.0832  1 Si 1.63
O 0.2966 0.5529 0.3279  1 Si 1.63
O 0.2465 0.7500 0.5719  2 Si 1.64
O 0.7034 0.0529 0.6721  1 Si 1.63
O 0.6517 0.0503 0.4168  1 Si 1.63
O 0.9004 0.7500 0.7881  1 C 1.29
O 0.8821 0.6629 0.9201  1 C 1.29
O 0.8331 0.7500 0.0851  2 Ca 2.39, 2 O 2.65
O 0.9370 0.5915 0.2847  1 Si 1.61
O 0.4770 0.3881 0.8621  1 Si 1.62
O 0.3331 0.2500 0.4149  2 Ca 2.39, 2 O 2.65
O 0.1669 0.2500 0.9149  2 Ca 2.39, 2 O 2.65
O 0.5996 0.7500 0.2881  1 C 1.29
O 0.0996 0.2500 0.2119  1 C 1.29
O 0.4389 0.6082 0.9650  2 Si 1.66-1.68
O 0.1179 0.1629 0.0799  1 C 1.29
O 0.3821 0.3371 0.5799  1 C 1.29
Y 0.1132 0.0586 0.2203  7 O 2.22-2.46
Y 0.6132 0.9414 0.2797  7 O 2.22-2.46
Y 0.6132 0.5586 0.2797  7 O 2.22-2.46
Y 0.8868 0.5586 0.7797  7 O 2.22-2.46
Y 0.3868 0.4414 0.7203  7 O 2.22-2.46
Y 0.8868 0.9414 0.7797  7 O 2.22-2.46
Y 0.3868 0.0586 0.7203  7 O 2.22-2.46
Y 0.1132 0.4414 0.2203  7 O 2.22-2.46
Si 0.1117 0.8705 0.3533  4 O 1.61-1.66
Si 0.8354 0.3690 0.4305  4 O 1.62-1.68
Si 0.8354 0.1310 0.4305  4 O 1.62-1.68
Si 0.8883 0.1295 0.6467  4 O 1.61-1.66
Si 0.6117 0.3705 0.1467  4 O 1.61-1.66
Si 0.1646 0.8690 0.5695  4 O 1.62-1.68
Si 0.3883 0.6295 0.8533  4 O 1.61-1.66
Si 0.1117 0.6295 0.3533  4 O 1.61-1.66
Si 0.3354 0.6310 0.0695  4 O 1.62-1.68
Si 0.6117 0.1295 0.1467  4 O 1.61-1.66
Si 0.6646 0.1310 0.9305  4 O 1.62-1.68
Si 0.6646 0.3690 0.9305  4 O 1.62-1.68
Si 0.8883 0.3705 0.6467  4 O 1.61-1.66
Si 0.3354 0.8690 0.0695  4 O 1.62-1.68
Si 0.1646 0.6310 0.5695  4 O 1.62-1.68
Si 0.3883 0.8705 0.8533  4 O 1.61-1.66
C 0.3884 0.2500 0.6225  3 O 1.29
C 0.6116 0.7500 0.3775  3 O 1.29
C 0.1116 0.2500 0.1225  3 O 1.29
C 0.8884 0.7500 0.8775  3 O 1.29

=====

Record 3
Compound: Nb2PbBr
Source: Alexandria
Functional: SCAN
Structure: PBEsol geometry

Properties
DOS(E_F)	3.67	states/eV/f.u.
symmetry	No. 225

Unit cell a=4.7744 b=4.7744 c=4.7744 alpha=60.00 beta=60.00 gamma=60.00
Closest atoms and distances in Å follow each position.
Sites, in units of the cell vectors:
Br 0.0000 0.0000 0.0000  8 Nb 2.92
Pb 0.5000 0.5000 0.5000  8 Nb 2.92
Nb 0.7500 0.7500 0.7500  4 Pb 2.92, 4 Br 2.92
Nb 0.2500 0.2500 0.2500  4 Pb 2.92, 4 Br 2.92

=====

| no. | VASP energy (eV/cell) | formation energy without anion corrections (eV per atom) | total magnetization (μB/f.u.) |
| --- | --- | --- | --- |
| 1 | -124.18 | 0.89 | 0.000 |
| 2 | -1198.29 | -2.99 | 2.085 |
| 3 | -159.75 | 0.44 | 0.027 |